(1)
{
  "formula": "Ga12Sn3Ge5",
  "functional": "PBE-GGA",
  "state": "relaxed",
  "sg": "Ia-3d, No. 230",
  "n_ef_per_ev_atom": 0.511,
  "e_form_ev_per_atom": 0.148,
  "density_g_cm3": 5.3,
  "lattice_angstrom": [[13.5931, 0.0000, 0.0000], [-4.5310, 12.8157, 0.0000], [-4.5310, -6.4078, 11.0987]],
  "species": ["Ge", "Ge", "Ge", "Ge", "Ge", "Ge", "Ge", "Ge", "Ge", "Ge", "Ge", "Ge", "Ge", "Ge", "Ge", "Ge", "Ge", "Ge", "Ge", "Ge", "Ga", "Ga", "Ga", "Ga", "Ga", "Ga", "Ga", "Ga", "Ga", "Ga", "Ga", "Ga", "Ga", "Ga", "Ga", "Ga", "Ga", "Ga", "Ga", "Ga", "Ga", "Ga", "Ga", "Ga", "Ga", "Ga", "Ga", "Ga", "Ga", "Ga", "Ga", "Ga", "Ga", "Ga", "Ga", "Ga", "Ga", "Ga", "Ga", "Ga", "Ga", "Ga", "Ga", "Ga", "Ga", "Ga", "Ga", "Ga", "Sn", "Sn", "Sn", "Sn", "Sn", "Sn", "Sn", "Sn", "Sn", "Sn", "Sn", "Sn"],
  "frac_coords": [[0.6250, 0.8750, 0.2500], [0.7500, 0.1250, 0.8750], [0.8750, 0.6250, 0.7500], [0.5000, 0.5000, 0.5000], [0.1250, 0.7500, 0.3750], [0.2500, 0.8750, 0.1250], [0.7500, 0.6250, 0.3750], [0.8750, 0.2500, 0.6250], [0.0000, 0.0000, 0.5000], [0.3750, 0.1250, 0.7500], [0.5000, 0.0000, 0.0000], [0.0000, 0.0000, 0.0000], [0.0000, 0.5000, 0.0000], [0.3750, 0.2500, 0.1250], [0.2500, 0.3750, 0.6250], [0.5000, 0.0000, 0.5000], [0.0000, 0.5000, 0.5000], [0.1250, 0.3750, 0.2500], [0.5000, 0.5000, 0.0000], [0.6250, 0.7500, 0.8750], [0.9229, 0.0949, 0.8732], [0.4503, 0.6720, 0.0771], [0.4503, 0.7783, 0.8732], [0.8280, 0.9229, 0.0497], [0.5949, 0.7217, 0.6720], [0.4229, 0.3732, 0.5949], [0.1720, 0.0771, 0.9503], [0.6268, 0.5771, 0.9051], [0.0497, 0.6268, 0.7217], [0.9051, 0.8280, 0.7783], [0.7217, 0.1268, 0.0497], [0.9503, 0.3732, 0.2783], [0.6268, 0.0497, 0.2217], [0.6720, 0.4503, 0.5771], [0.4229, 0.0497, 0.3280], [0.5949, 0.8732, 0.4229], [0.5497, 0.2217, 0.1268], [0.1720, 0.0949, 0.7217], [0.4051, 0.2783, 0.3280], [0.5771, 0.9503, 0.6720], [0.9051, 0.0771, 0.6268], [0.2217, 0.6720, 0.0949], [0.6720, 0.2217, 0.5949], [0.0497, 0.4229, 0.8280], [0.3732, 0.9503, 0.7783], [0.3280, 0.5497, 0.4229], [0.9229, 0.8280, 0.5497], [0.1268, 0.7217, 0.5497], [0.0949, 0.9229, 0.3732], [0.0771, 0.9051, 0.1268], [0.8732, 0.2783, 0.4503], [0.5497, 0.3280, 0.9229], [0.8280, 0.9051, 0.2783], [0.7217, 0.5949, 0.1720], [0.2783, 0.4051, 0.8280], [0.0771, 0.1720, 0.4503], [0.4051, 0.1268, 0.5771], [0.7783, 0.4503, 0.3732], [0.5771, 0.6268, 0.4051], [0.3280, 0.7783, 0.4051], [0.9503, 0.5771, 0.1720], [0.2783, 0.8732, 0.9503], [0.1268, 0.4051, 0.0771], [0.8732, 0.5949, 0.9229], [0.7783, 0.3280, 0.9051], [0.2217, 0.5497, 0.6268], [0.0949, 0.1720, 0.2217], [0.3732, 0.4229, 0.0949], [0.8750, 0.1250, 0.2500], [0.7500, 0.3750, 0.1250], [0.8750, 0.7500, 0.1250], [0.6250, 0.3750, 0.7500], [0.1250, 0.8750, 0.7500], [0.1250, 0.2500, 0.8750], [0.3750, 0.6250, 0.2500], [0.2500, 0.1250, 0.3750], [0.7500, 0.8750, 0.6250], [0.2500, 0.6250, 0.8750], [0.3750, 0.7500, 0.6250], [0.6250, 0.2500, 0.3750]]
}



(2)
{
  "formula": "Ca2Ac2Ni3",
  "functional": "PBE-GGA",
  "state": "relaxed",
  "sg": "C2/m, No. 12",
  "n_ef_per_ev_atom": 0.711,
  "e_form_ev_per_atom": -0.152,
  "density_g_cm3": 6.0,
  "lattice_angstrom": [[-1.8993, -0.9801, 3.4463], [5.4001, -3.4868, 1.9844], [3.0991, 6.7361, 1.2377]],
  "species": ["Ac", "Ac", "Ca", "Ca", "Ni", "Ni", "Ni"],
  "frac_coords": [[0.6363, 0.1614, 0.2727], [0.3637, 0.8386, 0.7273], [0.8951, 0.3383, 0.7902], [0.1049, 0.6617, 0.2098], [0.2552, 0.4056, 0.5105], [0.7448, 0.5944, 0.4895], [0.0000, 0.0000, 0.0000]]
}